# NaRe2Rh | the Alexandria database | PBEsol | relaxed
data_NaRe2Rh
_cell_length_a 6.156
_cell_length_b 6.156
_cell_length_c 6.156
_cell_angle_alpha 90.00
_cell_angle_beta 90.00
_cell_angle_gamma 90.00
_space_group_name_H-M_alt 'F m -3 m'
_space_group_IT_number 225
_space_group_name_Hall '-F 4 2 3'
loop_
_atom_site_label
_atom_site_type_symbol
_atom_site_fract_x
_atom_site_fract_y
_atom_site_fract_z
Na1 Na 0.000 0.000 0.000
Re1 Re 0.250 0.250 0.250
Rh1 Rh 0.000 0.000 0.500
# **M_tot**: 0.0 μB/cell
# **Total energy**: -7.837 eV per atom
# **Crystal system**: cubic
# **ΔE_f**: 1.214 eV per atom
# **Mass density**: 14191 kg/m3



# Sb2HBr | the Alexandria database | PBEsol | relaxed
data_Sb2HBr
_cell_length_a 6.988
_cell_length_b 6.988
_cell_length_c 6.988
_cell_angle_alpha 90.00
_cell_angle_beta 90.00
_cell_angle_gamma 90.00
_space_group_name_H-M_alt 'F m -3 m'
_space_group_IT_number 225
_space_group_name_Hall '-F 4 2 3'
loop_
_atom_site_label
_atom_site_type_symbol
_atom_site_fract_x
_atom_site_fract_y
_atom_site_fract_z
Sb1 Sb 0.250 0.250 0.250
H1 H 0.000 0.000 0.000
Br1 Br 0.000 0.000 0.500
# **M_tot**: 0.0 μB/cell
# **Total energy**: -2.897 eV per atom
# **Crystal system**: cubic
# **Mass density**: 6315 kg/m3



# SnPdBr3 | the Alexandria database | PBEsol | relaxed
data_SnPdBr3
_cell_length_a 5.485
_cell_length_b 5.485
_cell_length_c 5.485
_cell_angle_alpha 90.00
_cell_angle_beta 90.00
_cell_angle_gamma 90.00
_space_group_name_H-M_alt 'P m -3 m'
_space_group_IT_number 221
_space_group_name_Hall '-P 4 2 3'
loop_
_atom_site_label
_atom_site_type_symbol
_atom_site_fract_x
_atom_site_fract_y
_atom_site_fract_z
Sn1 Sn 0.000 0.000 0.000
Pd1 Pd 0.500 0.500 0.500
Br1 Br 0.000 0.000 0.500
# **M_tot**: 0.6 μB/cell
# **Energy relative to the elements, uncorrected**: 0.191 eV per atom
# **Total energy**: -2.974 eV per atom
# **Crystal system**: cubic
# **Mass density**: 4677 kg/m3



# MgSi2Cl | the Alexandria database | PBEsol | relaxed
data_MgSi2Cl
_cell_length_a 3.557
_cell_length_b 3.557
_cell_length_c 23.395
_cell_angle_alpha 90.00
_cell_angle_beta 90.00
_cell_angle_gamma 90.00
_space_group_name_H-M_alt 'I -4 2 d'
_space_group_IT_number 122
_space_group_name_Hall 'I -4 2bw'
loop_
_atom_site_label
_atom_site_type_symbol
_atom_site_fract_x
_atom_site_fract_y
_atom_site_fract_z
Mg1 Mg 0.000 0.000 0.000
Si1 Si 0.224 0.250 0.125
Cl1 Cl 0.000 0.000 0.500
# **M_tot**: 0.0 μB/cell
# **Energy relative to the elements, uncorrected**: -0.173 eV per atom
# **Total energy**: -3.977 eV per atom
# **Crystal system**: tetragonal
# **Energy relative to the lowest polymorph listed for this composition**: 300 meV per atom
# **Mass density**: 2602 kg/m3



# LaTiAu2 | the Alexandria database | PBEsol | relaxed
data_LaTiAu2
_cell_length_a 7.020
_cell_length_b 7.020
_cell_length_c 7.020
_cell_angle_alpha 90.00
_cell_angle_beta 90.00
_cell_angle_gamma 90.00
_space_group_name_H-M_alt 'F m -3 m'
_space_group_IT_number 225
_space_group_name_Hall '-F 4 2 3'
loop_
_atom_site_label
_atom_site_type_symbol
_atom_site_fract_x
_atom_site_fract_y
_atom_site_fract_z
La1 La 0.000 0.000 0.000
Ti1 Ti 0.000 0.000 0.500
Au1 Au 0.250 0.250 0.250
# **M_tot**: 7.5 μB/cell
# **Total energy**: -5.718 eV per atom
# **Crystal system**: cubic
# **ΔE_f**: -0.339 eV per atom
# **Mass density**: 11148 kg/m3



# ErSn3 | the Alexandria database | PBEsol | relaxed
data_ErSn3
_cell_length_a 4.613
_cell_length_b 4.613
_cell_length_c 4.613
_cell_angle_alpha 90.00
_cell_angle_beta 90.00
_cell_angle_gamma 90.00
_space_group_name_H-M_alt 'P m -3 m'
_space_group_IT_number 221
_space_group_name_Hall '-P 4 2 3'
loop_
_atom_site_label
_atom_site_type_symbol
_atom_site_fract_x
_atom_site_fract_y
_atom_site_fract_z
Er1 Er 0.000 0.000 0.000
Sn1 Sn 0.000 0.500 0.500
# **M_tot**: 0.0 μB/cell
# **Total energy**: -4.877 eV per atom
# **Crystal system**: cubic
# **ΔE_f**: -0.451 eV per atom
# **Mass density**: 8852 kg/m3



# Ba2SrAs | the Alexandria database | PBEsol | relaxed
data_Ba2SrAs
_cell_length_a 4.5763
_cell_length_b 4.5763
_cell_length_c 34.4937
_cell_angle_alpha 90.00
_cell_angle_beta 90.00
_cell_angle_gamma 120.00
_space_group_name_H-M_alt 'R -3 m'
_space_group_IT_number 166
_space_group_name_Hall '-R 3 2"'
loop_
_atom_site_label
_atom_site_type_symbol
_atom_site_fract_x
_atom_site_fract_y
_atom_site_fract_z
Ba1 Ba 0.0000 0.0000 0.2184
Sr1 Sr 0.0000 0.0000 0.0000
As1 As 0.0000 0.0000 0.5000
# **M_tot**: 0.0 μB/cell
# **Total energy**: -3.390 eV per atom
# **Crystal system**: trigonal
# **ΔE_f**: -0.579 eV per atom
# **Mass density**: 3481 kg/m3



# ScTl2Mo | the Alexandria database | PBEsol | relaxed
data_ScTl2Mo
_cell_length_a 3.026
_cell_length_b 4.295
_cell_length_c 6.071
_cell_angle_alpha 90.00
_cell_angle_beta 90.00
_cell_angle_gamma 90.00
_space_group_name_H-M_alt 'P m m m'
_space_group_IT_number 47
loop_
_space_group_symop_operation_xyz
'x,y,z'
'-x,-y,-z'
'-x,-y,z'
'x,y,-z'
'x,-y,-z'
'-x,y,z'
'-x,y,-z'
'x,-y,z'
loop_
_atom_site_label
_atom_site_type_symbol
_atom_site_fract_x
_atom_site_fract_y
_atom_site_fract_z
Sc1 Sc 0.000 0.000 0.000
Tl1 Tl 0.500 0.500 0.259
Mo1 Mo 0.000 0.000 0.500
# **M_tot**: 0.4 μB/cell
# **Total energy**: -5.663 eV per atom
# **Crystal system**: orthorhombic
# **Energy relative to the lowest polymorph listed for this composition**: 0 meV per atom
# **ΔE_f**: 0.245 eV per atom
# **Mass density**: 11566 kg/m3



What is the total energy in the second record? -2.897 eV per atom



The lowest mass density belongs to which entry? MgSi2Cl